Entry 1:
Compound: BaPt2Br
Source: Alexandria via LeMat-Bulk
Functional: PBEsol
Structure: optimized geometry

Cell lengths 3.751, 3.632, 7.912 Å; angles 90.00, 102.88, 90.00 degrees
Fractional positions:
Ba1 0.000 0.000 0.000
Pt1 0.349 0.000 0.680
Pt2 0.829 0.500 0.637
Br1 0.610 0.500 0.235

Computed properties:
**Total magnetic moment**: 0.00 μB/atom
**Calculated total energy**: -20.0 eV/f.u.
**Crystal system**: monoclinic
**V**: 105.1 Å³/cell

---

Entry 2:
Compound: CoNi
Source: Alexandria via LeMat-Bulk
Functional: PBEsol
Structure: optimized geometry

Cell lengths 4.668, 4.668, 4.271 Å; angles 116.97, 116.97, 30.25 degrees
Fractional positions:
Co1 0.126 0.126 0.291
Co2 0.874 0.874 0.709
Ni1 0.376 0.376 0.210
Ni2 0.624 0.624 0.790

Computed properties:
**Total magnetic moment**: 1.15 μB/atom
**Formation energy from the elements**: 0.005 eV per atom
**Calculated total energy**: -13.9 eV/f.u.
**Crystal system**: monoclinic
**V**: 41.4 Å³/cell

---

Entry 3:
Compound: Te2W3Se2S2
Source: Alexandria via LeMat-Bulk
Functional: PBEsol
Structure: optimized geometry

Cell lengths 3.294, 3.294, 20.712 Å; angles 90.00, 90.00, 120.00 degrees
Fractional positions:
Te1 0.000 0.000 0.000
Te2 0.000 0.000 0.184
W1 0.000 0.000 0.423
W2 0.333 0.667 0.092
W3 0.333 0.667 0.730
Se1 0.333 0.667 0.343
Se2 0.333 0.667 0.504
S1 0.000 0.000 0.657
S2 0.000 0.000 0.803

Computed properties:
**Total magnetic moment**: 0.00 μB/atom
**Calculated total energy**: -69.1 eV/f.u.
**Crystal system**: trigonal
**V**: 194.7 Å³/cell

---

Entry 4:
Compound: CoSe2Br
Source: Alexandria via LeMat-Bulk
Functional: PBEsol
Structure: optimized geometry

Cell lengths 3.609, 3.609, 7.699 Å; angles 103.95, 103.95, 60.09 degrees
Fractional positions:
Co1 0.000 0.000 0.000
Se1 0.385 0.385 0.150
Se2 0.615 0.615 0.850
Br1 0.500 0.500 0.500

Computed properties:
**Total magnetic moment**: 0.00 μB/atom
**Distance to the lowest polymorph of the same formula**: 0.0 meV/atom
**Calculated total energy**: -18.3 eV/f.u.
**Crystal system**: monoclinic
**V**: 83.5 Å³/cell

---

Entry 5:
Compound: Cd2PRu2
Source: Alexandria via LeMat-Bulk
Functional: PBEsol
Structure: optimized geometry

Cell lengths 5.964, 5.964, 4.554 Å; angles 90.00, 90.00, 90.00 degrees
Fractional positions:
Cd1 0.164 0.336 0.000
Cd2 0.336 0.836 0.000
Cd3 0.664 0.164 0.000
Cd4 0.836 0.664 0.000
P1 0.000 0.000 0.500
P2 0.500 0.500 0.500
Ru1 0.153 0.653 0.500
Ru2 0.347 0.153 0.500
Ru3 0.653 0.847 0.500
Ru4 0.847 0.347 0.500

Computed properties:
**Total magnetic moment**: 0.00 μB/atom
**Formation energy from the elements**: -0.145 eV per atom
**Calculated total energy**: -29.3 eV/f.u.
**Crystal system**: tetragonal
**V**: 161.9 Å³/cell

---

Entry 6:
Compound: BaSrP
Source: Alexandria via LeMat-Bulk
Functional: PBEsol
Structure: optimized geometry

Cell lengths 4.480, 4.480, 7.696 Å; angles 90.00, 90.00, 120.00 degrees
Fractional positions:
Ba1 0.000 0.000 0.000
Sr1 0.667 0.333 0.574
P1 0.333 0.667 0.774

Computed properties:
**Total magnetic moment**: 0.00 μB/atom
**Formation energy from the elements**: -0.811 eV per atom
**Distance to the lowest polymorph of the same formula**: 0.0 meV/atom
**Calculated total energy**: -12.2 eV/f.u.
**Crystal system**: trigonal
**V**: 133.8 Å³/cell